The following is a DFT calculation (PBE) of a relaxed SrAgW3 crystal.

Computed properties:
density of states at the Fermi level	2.2857	states/eV/atom
energy	-6.11	eV per atom
formation energy from the elements	2.57	eV/atom
E above lowest polymorph	0.0	kJ per mole of atoms

Cell lengths 4.9591, 4.9591, 4.9591 Å; angles 90.00, 90.00, 90.00 degrees
Fractional coordinates of all 5 atoms:
W: 0.5000 0.0000 0.0000
W: 0.0000 0.0000 0.5000
Sr: 0.5000 0.5000 0.5000
Ag: 0.0000 0.0000 0.0000
W: 0.0000 0.5000 0.0000

=====

The following is a DFT calculation (PBE) of a relaxed Fe3Pd2Rh crystal.

Computed properties:
density of states at the Fermi level	0.9138	states/eV/atom
energy	-7.23	eV per atom
formation energy from the elements	-0.04	eV/atom

Cell lengths 3.6618, 3.8817, 11.6370 Å; angles 90.00, 90.00, 90.00 degrees
Each line ends with the local moment (μB).
Fractional coordinates of all 12 atoms:
Pd: 0.0000 0.5000 0.1674  0.37
Fe: 0.5000 0.0000 0.5000  3.01
Fe: 0.5000 0.5000 0.0000  3.01
Pd: 0.0000 0.0000 0.6674  0.37
Fe: 0.5000 0.5000 0.6640  3.03
Fe: 0.5000 0.0000 0.1640  3.03
Fe: 0.5000 0.5000 0.3360  3.03
Pd: 0.0000 0.5000 0.8326  0.37
Pd: 0.0000 0.0000 0.3326  0.37
Rh: 0.0000 0.5000 0.5000  0.77
Fe: 0.5000 0.0000 0.8360  3.03
Rh: 0.0000 0.0000 0.0000  0.77

=====

The following is a DFT calculation (PBE) of a relaxed TbNd5Sm2Sc crystal.

Computed properties:
density of states at the Fermi level	1.4284	states/eV/atom
energy	-4.80	eV per atom
formation energy from the elements	0.12	eV/atom

Cell lengths 5.4246, 11.3617, 10.2487 Å; angles 90.00, 90.00, 103.81 degrees
Fractional coordinates of all 18 atoms:
Sm: 0.1160 0.2320 0.7574
Sm: 0.8840 0.7680 0.2574
Nd: 0.7222 0.4444 0.1960
Nd: 0.5000 0.0000 0.2583
Tb: 0.3977 0.7955 0.5082
Nd: 0.3725 0.7451 0.0082
Sc: 0.2125 0.4250 0.0082
Nd: 0.2778 0.5556 0.6960
Sm: 0.1160 0.2320 0.2590
Sc: 0.7875 0.5750 0.5082
Nd: 0.7222 0.4443 0.8204
Nd: 0.5000 0.0000 0.7583
Nd: 0.2778 0.5557 0.3204
Nd: 0.6275 0.2549 0.5082
Tb: 0.6023 0.2045 0.0082
Sm: 0.8840 0.7680 0.7590
Nd: 0.0004 0.0009 0.5082
Nd: 0.9996 0.9991 0.0082

=====

The following is a DFT calculation (PBE) of a relaxed Y2MgNpN4 crystal.

Computed properties:
density of states at the Fermi level	0.4398	states/eV/atom
energy relative to the elements, uncorrected	-125.92	kJ/mol of atoms
energy	-8.90	eV per atom

Cell lengths 3.4466, 5.7732, 5.8563 Å; angles 107.73, 90.00, 90.00 degrees
Each line ends with the local moment (μB).
Fractional coordinates of all 8 atoms:
N: 0.5000 0.2657 0.2351  -0.08
N: 0.0000 0.7484 0.2412  -0.08
Y: 0.5000 0.0000 0.5000  0.11
N: 0.5000 0.7343 0.7649  -0.08
Y: 0.0000 0.5000 0.5000  0.08
Mg: 0.0000 0.0000 0.0000  0.00
Np: 0.5000 0.5000 0.0000  2.71
N: 0.0000 0.2516 0.7588  -0.08

=====

The following is a DFT calculation (PBE) of a relaxed TlAgSCl2 crystal.

Computed properties:
density of states at the Fermi level	0.9698	states/eV/atom
energy relative to the elements, uncorrected	-20.43	kJ/mol of atoms
energy	-2.82	eV per atom
E above lowest polymorph	0.0	kJ per mole of atoms

Cell lengths 5.2438, 5.2438, 4.8645 Å; angles 90.00, 90.00, 90.00 degrees
Each line ends with the local moment (μB).
Fractional coordinates of all 5 atoms:
Tl: 0.5000 0.5000 0.5000  0.01
Cl: 0.5000 0.0000 0.0000  0.07
S: 0.0000 0.0000 0.5000  0.51
Ag: 0.0000 0.0000 0.0000  0.12
Cl: 0.0000 0.5000 0.0000  0.07

=====

The following is a DFT calculation (PBE) of a relaxed TePdI6 crystal.

Computed properties:
energy relative to the elements, uncorrected	-10.05	kJ/mol of atoms
energy	-2.31	eV per atom
E above lowest polymorph	0.0	kJ per mole of atoms

Cell lengths 9.4340, 7.4804, 7.4804 Å; angles 101.17, 114.05, 114.05 degrees
Fractional coordinates of all 8 atoms:
Te: 0.0000 0.0000 0.0000
I: 0.7359 0.0690 0.0690
I: 0.2491 0.1501 0.4805
I: 0.2641 0.9310 0.9310
Pd: 0.5000 0.5000 0.5000
I: 0.7509 0.5195 0.8499
I: 0.2491 0.4805 0.1501
I: 0.7509 0.8499 0.5195

=====

The following is a DFT calculation (PBE) of a relaxed Dy8Al2Tl crystal.

Computed properties:
density of states at the Fermi level	0.8579	states/eV/atom
energy	-4.44	eV per atom
formation energy from the elements	-0.20	eV/atom
E above lowest polymorph	0.0	kJ per mole of atoms

Cell lengths 5.2206, 8.4088, 8.4685 Å; angles 118.25, 107.95, 90.00 degrees
Fractional coordinates of all 11 atoms:
Dy: 0.9343 0.2817 0.8686
Dy: 0.8553 0.8011 0.7105
Al: 0.7758 0.3800 0.5516
Al: 0.2242 0.6200 0.4484
Dy: 0.6003 0.4591 0.2006
Dy: 0.0657 0.7183 0.1314
Dy: 0.3169 0.0447 0.6338
Dy: 0.3997 0.5409 0.7994
Dy: 0.1447 0.1989 0.2895
Dy: 0.6831 0.9553 0.3662
Tl: 0.5000 0.0000 0.0000

=====

The following is a DFT calculation (PBE) of a relaxed Sr4MgIn crystal.

Computed properties:
density of states at the Fermi level	1.1350	states/eV/atom
energy	-1.97	eV per atom
formation energy from the elements	-0.13	eV/atom
E above lowest polymorph	4.2	kJ per mole of atoms

Cell lengths 7.2497, 9.3757, 9.5938 Å; angles 114.81, 106.77, 100.52 degrees
Fractional coordinates of all 12 atoms:
Sr: 0.0185 0.2526 0.8801
Sr: 0.2195 0.3191 0.3700
Sr: 0.3495 0.9491 0.6300
Sr: 0.6505 0.0509 0.3700
In: 0.6141 0.3641 0.7283
Mg: 0.2490 0.9990 0.9980
Sr: 0.7805 0.6809 0.6300
In: 0.3859 0.6359 0.2717
Sr: 0.6384 0.3725 0.1199
Sr: 0.3616 0.6275 0.8801
Sr: 0.9815 0.7474 0.1199
Mg: 0.7510 0.0010 0.0020

=====

Q: Which spin magnetization values were calculated for the entries above? A: 0.00; 21.02; 0.00; 2.82; 1.14; 0.00; 0.00; 0.00, in Bohr magnetons per cell.